Entry 1:
This record from Alexandria describes a geometry-optimized Tb2Ga4PdPt3 structure. The functional is GGA-PBE.

Cell lengths 4.118, 4.118, 11.053 Å; angles 90.00, 90.00, 90.00 degrees
Element x y z (fractional)
Tb 0.000 0.500 0.245
Tb 0.500 0.000 0.755
Ga 0.000 0.000 0.000
Ga 0.000 0.500 0.634
Ga 0.500 0.000 0.366
Ga 0.500 0.500 0.000
Pd 0.000 0.000 0.500
Pt 0.000 0.500 0.859
Pt 0.500 0.000 0.141
Pt 0.500 0.500 0.500

Summary:
ΔH_f (0 K) = -0.9372 eV/atom

Entry 2:
This record from Alexandria describes a geometry-optimized TeRuW2 structure. The functional is GGA-PBE.

Cell lengths 9.489, 3.086, 4.821 Å; angles 90.00, 107.58, 90.00 degrees
Element x y z (fractional)
Te 0.000 0.000 0.000
Te 0.500 0.500 0.000
Ru 0.243 0.500 0.331
Ru 0.743 0.000 0.331
W 0.247 0.000 0.801
W 0.480 0.000 0.471
W 0.747 0.500 0.801
W 0.980 0.500 0.471

Summary:
formation energy without anion corrections = 530 meV per atom

Entry 3:
This record from Alexandria describes a geometry-optimized ZrFeRu3 structure. The functional is GGA-PBE.

Cell lengths 4.731, 4.731, 4.731 Å; angles 90.00, 90.00, 90.00 degrees
Element x y z (fractional)
Zr 0.000 0.000 0.000
Fe 0.500 0.500 0.500
Ru 0.000 0.000 0.500
Ru 0.000 0.500 0.000
Ru 0.500 0.000 0.000

Summary:
ΔH_f (0 K) = 2.1840 eV/atom
offset from the most stable computed form = 138.0 kJ per mole of atoms

Entry 4:
This record from Alexandria describes a geometry-optimized CaTb2Y structure. The functional is GGA-PBE.

Cell lengths 5.123, 5.123, 5.116 Å; angles 90.00, 90.00, 90.00 degrees
Element x y z (fractional)
Ca 0.000 0.000 0.000
Tb 0.000 0.500 0.500
Tb 0.500 0.000 0.500
Y 0.500 0.500 0.000

Summary:
ΔH_f (0 K) = 0.1284 eV/atom
offset from the most stable computed form = 6.7 kJ per mole of atoms

Entry 5:
This record from Alexandria describes a geometry-optimized La11Tl9Pt4 structure. The functional is GGA-PBE.

Cell lengths 13.893, 13.893, 3.903 Å; angles 90.00, 90.00, 112.57 degrees
Element x y z (fractional)
La 0.000 0.000 0.000
La 0.079 0.417 0.000
La 0.162 0.838 0.000
La 0.310 0.310 0.000
La 0.373 0.627 0.000
La 0.417 0.079 0.000
La 0.583 0.921 0.000
La 0.627 0.373 0.000
La 0.690 0.690 0.000
La 0.838 0.162 0.000
La 0.921 0.583 0.000
Tl 0.072 0.215 0.500
Tl 0.156 0.635 0.500
Tl 0.215 0.072 0.500
Tl 0.365 0.844 0.500
Tl 0.500 0.500 0.500
Tl 0.635 0.156 0.500
Tl 0.785 0.928 0.500
Tl 0.844 0.365 0.500
Tl 0.928 0.785 0.500
Pt 0.248 0.449 0.500
Pt 0.449 0.248 0.500
Pt 0.551 0.752 0.500
Pt 0.752 0.551 0.500

Summary:
ΔH_f (0 K) = -0.7058 eV/atom

Entry 6:
This record from Alexandria describes a geometry-optimized Tb7Y3Tm structure. The functional is GGA-PBE.

Cell lengths 7.017, 5.538, 9.872 Å; angles 90.00, 110.26, 90.00 degrees
Element x y z (fractional)
Tb 0.000 0.000 0.000
Tb 0.148 0.500 0.293
Tb 0.322 0.500 0.640
Tb 0.418 0.000 0.829
Tb 0.582 0.000 0.171
Tb 0.678 0.500 0.360
Tb 0.852 0.500 0.707
Y 0.000 0.000 0.500
Y 0.279 0.500 0.998
Y 0.721 0.500 0.002
Tm 0.500 0.000 0.500

Summary:
ΔH_f (0 K) = 0.1449 eV/atom
offset from the most stable computed form = 0.0 kJ per mole of atoms

no.,DFT total energy (eV per formula unit)
1,-54.1
2,-36.2
3,-33.9
4,-17.2
5,-116.6
6,-54.7